{
  "formula": "CrCd2Ag",
  "functional": "PBE",
  "state": "relaxed",
  "lattice_angstrom": [[1.5157, 0.8751, 9.8892], [-1.5157, 0.8751, 9.8892], [0.0000, -1.7502, 9.8892]],
  "species": ["Cr", "Cd", "Cd", "Ag"],
  "fractional_positions": [[0.0000, 0.0000, 0.0000], [0.2535, 0.2535, 0.2535], [0.4920, 0.4920, 0.4920], [0.7422, 0.7422, 0.7422]],
  "dos_at_fermi_per_ev_atom": 0.43,
  "ef_kj_per_mol_atoms": 31.1
}